An optimized crystal structure of Sc2B2AsRu5. Source: Alexandria via LeMat-Bulk, functional PBE-GGA.

The value obtained for the formation energy is -0.61 eV/atom.

It has space group P4/mbm (No. 127), with a = 9.366 Å, b = 9.366 Å, c = 3.030 Å, α = 90.00°, β = 90.00° and γ = 90.00°. The distinct sites, in fractional coordinates, are Sc at (0.174, 0.326, 0.000), B at (0.123, 0.623, 0.000), As at (0.000, 0.000, 0.000), Ru at (0.000, 0.500, 0.500) and Ru at (0.071, 0.788, 0.500).